P | This record from Alexandria describes a relaxed structure of Li2TmMg2. The functional is PBE.

```
data_Li2TmMg2
_chemical_formula_sum 'Li4 Tm2 Mg4'
_symmetry_space_group_name_H-M 'I 4/m m m'
_symmetry_Int_Tables_number 139
_symmetry_space_group_name_Hall '-I 4 2'
_cell_length_a 4.040
_cell_length_b 4.040
_cell_length_c 14.685
_cell_angle_alpha 90.00
_cell_angle_beta 90.00
_cell_angle_gamma 90.00
loop_
_atom_site_label
_atom_site_type_symbol
_atom_site_fract_x
_atom_site_fract_y
_atom_site_fract_z
Li1 Li 0.000 0.500 0.250
Tm1 Tm 0.000 0.000 0.000
Mg1 Mg 0.000 0.000 0.396
```

Summary:
N(E_F) = 4.033 states/eV/f.u.

Q | This record from Alexandria describes a relaxed structure of Li2TmMg2. The functional is PBE.

```
data_Li2TmMg2
_chemical_formula_sum 'Li4 Tm2 Mg4'
_symmetry_space_group_name_H-M 'C m m m'
_symmetry_Int_Tables_number 65
_symmetry_space_group_name_Hall '-C 2 2'
_cell_length_a 3.576
_cell_length_b 20.315
_cell_length_c 3.235
_cell_angle_alpha 90.00
_cell_angle_beta 90.00
_cell_angle_gamma 90.00
loop_
_atom_site_label
_atom_site_type_symbol
_atom_site_fract_x
_atom_site_fract_y
_atom_site_fract_z
Li1 Li 0.000 0.198 0.000
Tm1 Tm 0.000 0.000 0.000
Mg1 Mg 0.000 0.388 0.500
```

Summary:
N(E_F) = 3.016 states/eV/f.u.

Energy relative to the most stable one, in eV/atom: P 0.079; Q 0.000

P | This record from Alexandria describes a relaxed structure of LiTm2Mg8. The functional is PBE.

```
data_LiTm2Mg8
_chemical_formula_sum 'Li1 Tm2 Mg8'
_symmetry_space_group_name_H-M 'P 4/m m m'
_symmetry_Int_Tables_number 123
_symmetry_space_group_name_Hall '-P 4 2'
_cell_length_a 4.578
_cell_length_b 4.578
_cell_length_c 12.887
_cell_angle_alpha 90.00
_cell_angle_beta 90.00
_cell_angle_gamma 90.00
loop_
_atom_site_label
_atom_site_type_symbol
_atom_site_fract_x
_atom_site_fract_y
_atom_site_fract_z
Li1 Li 0.000 0.000 0.000
Tm1 Tm 0.000 0.000 0.314
Mg1 Mg 0.000 0.500 0.132
Mg2 Mg 0.000 0.500 0.500
Mg3 Mg 0.500 0.500 0.314
```

Summary:
N(E_F) = 7.774 states/eV/f.u.

Q | This record from Alexandria describes a relaxed structure of LiTm2Mg8. The functional is PBE.

```
data_LiTm2Mg8
_chemical_formula_sum 'Li2 Tm4 Mg16'
_symmetry_space_group_name_H-M 'C 1 2/m 1'
_symmetry_Int_Tables_number 12
_cell_length_a 16.269
_cell_length_b 4.899
_cell_length_c 6.733
_cell_angle_alpha 90.00
_cell_angle_beta 101.56
_cell_angle_gamma 90.00
loop_
_symmetry_equiv_pos_as_xyz
'x,y,z'
'-x,-y,-z'
'-x,y,-z'
'x,-y,z'
'x+1/2,y+1/2,z'
'-x+1/2,-y+1/2,-z'
'-x+1/2,y+1/2,-z'
'x+1/2,-y+1/2,z'
loop_
_atom_site_label
_atom_site_type_symbol
_atom_site_fract_x
_atom_site_fract_y
_atom_site_fract_z
Li1 Li 0.000 0.000 0.000
Tm1 Tm 0.221 0.500 0.649
Mg1 Mg 0.030 0.500 0.733
Mg2 Mg 0.090 0.000 0.436
Mg3 Mg 0.146 0.500 0.155
Mg4 Mg 0.164 0.000 0.892
```

Summary:
N(E_F) = 7.072 states/eV/f.u.

Energy relative to the most stable one, in eV/atom: P 0.027; Q 0.000

P | This record from Alexandria describes a relaxed structure of LiMg6V. The functional is PBE.

```
data_LiMg6V
_chemical_formula_sum 'Li1 Mg6 V1'
_symmetry_space_group_name_H-M 'P -6 m 2'
_symmetry_Int_Tables_number 187
_symmetry_space_group_name_Hall 'P -6 2'
_cell_length_a 6.2057
_cell_length_b 6.2057
_cell_length_c 5.0418
_cell_angle_alpha 90.00
_cell_angle_beta 90.00
_cell_angle_gamma 120.00
loop_
_atom_site_label
_atom_site_type_symbol
_atom_site_fract_x
_atom_site_fract_y
_atom_site_fract_z
Li1 Li 0.0000 0.0000 0.0000
Mg1 Mg 0.1660 0.3320 0.5000
Mg2 Mg 0.5055 0.0110 0.0000
V1 V 0.6667 0.3333 0.5000
```

Summary:
N(E_F) = 4.208 states/eV/f.u.

Q | This record from Alexandria describes a relaxed structure of LiMg6V. The functional is PBE.

```
data_LiMg6V
_chemical_formula_sum 'Li2 Mg12 V2'
_symmetry_space_group_name_H-M 'A m m 2'
_symmetry_Int_Tables_number 38
_cell_length_a 5.034
_cell_length_b 6.293
_cell_length_c 10.738
_cell_angle_alpha 90.00
_cell_angle_beta 90.00
_cell_angle_gamma 90.00
loop_
_symmetry_equiv_pos_as_xyz
'x,y,z'
'-x,-y,z'
'-x,y,z'
'x,-y,z'
'x,y+1/2,z+1/2'
'-x,-y+1/2,z+1/2'
'-x,y+1/2,z+1/2'
'x,-y+1/2,z+1/2'
loop_
_atom_site_label
_atom_site_type_symbol
_atom_site_fract_x
_atom_site_fract_y
_atom_site_fract_z
Li1 Li 0.000 0.000 0.000
Mg1 Mg 0.000 0.248 0.752
Mg2 Mg 0.500 0.000 0.168
Mg3 Mg 0.500 0.000 0.663
Mg4 Mg 0.500 0.245 0.423
V1 V 0.000 0.000 0.501
```

Summary:
N(E_F) = 4.237 states/eV/f.u.

Energy relative to the most stable one, in eV/atom: P 0.000; Q 0.033

P | This record from Alexandria describes a relaxed structure of LiMg3V. The functional is PBE.

```
data_LiMg3V
_chemical_formula_sum 'Li1 Mg3 V1'
_symmetry_space_group_name_H-M 'P m -3 m'
_symmetry_Int_Tables_number 221
_symmetry_space_group_name_Hall '-P 4 2 3'
_cell_length_a 5.299
_cell_length_b 5.299
_cell_length_c 5.299
_cell_angle_alpha 90.00
_cell_angle_beta 90.00
_cell_angle_gamma 90.00
loop_
_atom_site_label
_atom_site_type_symbol
_atom_site_fract_x
_atom_site_fract_y
_atom_site_fract_z
Li1 Li 0.000 0.000 0.000
Mg1 Mg 0.000 0.500 0.500
V1 V 0.500 0.500 0.500
```

Summary:
N(E_F) = 3.416 states/eV/f.u.

Q | This record from Alexandria describes a relaxed structure of LiMg3V. The functional is PBE.

```
data_LiMg3V
_chemical_formula_sum 'Li1 Mg3 V1'
_symmetry_space_group_name_H-M 'P m -3 m'
_symmetry_Int_Tables_number 221
_symmetry_space_group_name_Hall '-P 4 2 3'
_cell_length_a 4.759
_cell_length_b 4.759
_cell_length_c 4.759
_cell_angle_alpha 90.00
_cell_angle_beta 90.00
_cell_angle_gamma 90.00
loop_
_atom_site_label
_atom_site_type_symbol
_atom_site_fract_x
_atom_site_fract_y
_atom_site_fract_z
Li1 Li 0.000 0.000 0.000
Mg1 Mg 0.000 0.000 0.500
V1 V 0.500 0.500 0.500
```

Summary:
N(E_F) = 4.374 states/eV/f.u.

Energy relative to the most stable one, in eV/atom: P 0.047; Q 0.000

P | This record from Alexandria describes a relaxed structure of LiMg14V. The functional is PBE.

```
data_LiMg14V
_chemical_formula_sum 'Li2 Mg28 V2'
_symmetry_space_group_name_H-M 'A m m 2'
_symmetry_Int_Tables_number 38
_cell_length_a 10.261
_cell_length_b 6.328
_cell_length_c 10.878
_cell_angle_alpha 90.00
_cell_angle_beta 90.00
_cell_angle_gamma 90.00
loop_
_symmetry_equiv_pos_as_xyz
'x,y,z'
'-x,-y,z'
'-x,y,z'
'x,-y,z'
'x,y+1/2,z+1/2'
'-x,-y+1/2,z+1/2'
'-x,y+1/2,z+1/2'
'x,-y+1/2,z+1/2'
loop_
_atom_site_label
_atom_site_type_symbol
_atom_site_fract_x
_atom_site_fract_y
_atom_site_fract_z
Li1 Li 0.000 0.000 0.000
Mg1 Mg 0.000 0.250 0.251
Mg2 Mg 0.240 0.248 0.580
Mg3 Mg 0.244 0.000 0.335
Mg4 Mg 0.248 0.000 0.833
Mg5 Mg 0.500 0.000 0.001
Mg6 Mg 0.500 0.000 0.501
Mg7 Mg 0.500 0.249 0.250
V1 V 0.000 0.000 0.500
```

Summary:
N(E_F) = 8.134 states/eV/f.u.

Q | This record from Alexandria describes a relaxed structure of LiMg14V. The functional is PBE.

```
data_LiMg14V
_chemical_formula_sum 'Li1 Mg14 V1'
_symmetry_space_group_name_H-M 'P -6 m 2'
_symmetry_Int_Tables_number 187
_symmetry_space_group_name_Hall 'P -6 2'
_cell_length_a 6.3100
_cell_length_b 6.3100
_cell_length_c 10.2211
_cell_angle_alpha 90.00
_cell_angle_beta 90.00
_cell_angle_gamma 120.00
loop_
_atom_site_label
_atom_site_type_symbol
_atom_site_fract_x
_atom_site_fract_y
_atom_site_fract_z
Li1 Li 0.0000 0.0000 0.0000
Mg1 Mg 0.9999 0.5000 0.5000
Mg2 Mg 0.0023 0.5012 0.0000
Mg3 Mg 0.1634 0.3267 0.2538
Mg4 Mg 0.6667 0.3333 0.2474
V1 V 0.0000 0.0000 0.5000
```

Summary:
N(E_F) = 7.875 states/eV/f.u.

Energy relative to the most stable one, in eV/atom: P 0.009; Q 0.000

P | This record from Alexandria describes a relaxed structure of LiMgW3. The functional is PBE.

```
data_LiMgW3
_chemical_formula_sum 'Li1 Mg1 W3'
_symmetry_space_group_name_H-M 'P m -3 m'
_symmetry_Int_Tables_number 221
_symmetry_space_group_name_Hall '-P 4 2 3'
_cell_length_a 4.622
_cell_length_b 4.622
_cell_length_c 4.622
_cell_angle_alpha 90.00
_cell_angle_beta 90.00
_cell_angle_gamma 90.00
loop_
_atom_site_label
_atom_site_type_symbol
_atom_site_fract_x
_atom_site_fract_y
_atom_site_fract_z
Li1 Li 0.000 0.000 0.000
Mg1 Mg 0.500 0.500 0.500
W1 W 0.000 0.500 0.500
```

Summary:
N(E_F) = 6.983 states/eV/f.u.

Q | This record from Alexandria describes a relaxed structure of LiMgW3. The functional is PBE.

```
data_LiMgW3
_chemical_formula_sum 'Li1 Mg1 W3'
_symmetry_space_group_name_H-M 'P m -3 m'
_symmetry_Int_Tables_number 221
_symmetry_space_group_name_Hall '-P 4 2 3'
_cell_length_a 4.309
_cell_length_b 4.309
_cell_length_c 4.309
_cell_angle_alpha 90.00
_cell_angle_beta 90.00
_cell_angle_gamma 90.00
loop_
_atom_site_label
_atom_site_type_symbol
_atom_site_fract_x
_atom_site_fract_y
_atom_site_fract_z
Li1 Li 0.000 0.000 0.000
Mg1 Mg 0.500 0.500 0.500
W1 W 0.000 0.000 0.500
```

Summary:
N(E_F) = 8.346 states/eV/f.u.

Energy relative to the most stable one, in eV/atom: P 1.104; Q 0.000